# 1
# TcAs2Br | Alexandria via LeMat-Bulk | PBE | optimized geometry
# Energy above the most stable polymorph in this dataset in meV/atom: 38.1
# Final energy in eV per atom: -5.31
# Crystal system: trigonal
# Raw formation energy in eV per formula unit: 0.11
data_TcAs2Br
_symmetry_space_group_name_H-M 'R -3 m'
_symmetry_Int_Tables_number 166
_symmetry_space_group_name_Hall '-R 3 2"'
_cell_length_a 3.3023
_cell_length_b 3.3023
_cell_length_c 24.5564
_cell_angle_alpha 90.00
_cell_angle_beta 90.00
_cell_angle_gamma 120.00
loop_
_atom_site_label
_atom_site_fract_x
_atom_site_fract_y
_atom_site_fract_z
_atom_site_occupancy
Tc1 0.0000 0.0000 0.0000 1
As1 0.0000 0.0000 0.2639 1
Br1 0.0000 0.0000 0.5000 1


# 2
# ReCl3 | Alexandria via LeMat-Bulk | PBE | optimized geometry
# Energy above the most stable polymorph in this dataset in meV/atom: 851.4
# Final energy in eV per atom: -4.32
# Crystal system: monoclinic
# Raw formation energy in eV per formula unit: 0.71
data_ReCl3
_symmetry_space_group_name_H-M 'C 1 2/m 1'
_symmetry_Int_Tables_number 12
_cell_length_a 6.928
_cell_length_b 2.891
_cell_length_c 8.339
_cell_angle_alpha 90.00
_cell_angle_beta 98.40
_cell_angle_gamma 90.00
loop_
_symmetry_equiv_pos_as_xyz
'x,y,z'
'-x,-y,-z'
'-x,y,-z'
'x,-y,z'
'x+1/2,y+1/2,z'
'-x+1/2,-y+1/2,-z'
'-x+1/2,y+1/2,-z'
'x+1/2,-y+1/2,z'
loop_
_atom_site_label
_atom_site_fract_x
_atom_site_fract_y
_atom_site_fract_z
_atom_site_occupancy
Re1 0.000 0.000 0.000 1
Cl1 0.000 0.500 0.500 1
Cl2 0.233 0.500 0.164 1